Here is a relaxed structure of RhSNCl2 from the Alexandria database. Energies are from PBE.

a = 4.1716 Å, b = 4.1716 Å, c = 4.5106 Å
α = 90.00°, β = 90.00°, γ = 90.00°
With the nearest neighbours (Å) after each atom.
Sites, in units of the cell vectors:
Rh (0.0000, 0.0000, 0.0000)  4 S 2.95, 8 Cl 3.07
S (0.5000, 0.5000, 0.0000)  2 N 2.26
N (0.5000, 0.5000, 0.5000)  4 Cl 2.09, 2 S 2.26
Cl (0.0000, 0.5000, 0.5000)  2 N 2.09
Cl (0.5000, 0.0000, 0.5000)  2 N 2.09

## Properties
- ΔE to the lowest computed polymorph: 1.68 eV/f.u.

=====

Here is a relaxed structure of Na3GaTe from the Alexandria database. Energies are from PBE.

a = 5.5017 Å, b = 5.5017 Å, c = 5.5017 Å
α = 90.00°, β = 90.00°, γ = 90.00°
With the nearest neighbours (Å) after each atom.
Sites, in units of the cell vectors:
Na (0.0000, 0.0000, 0.5000)  2 Ga 2.75
Na (0.0000, 0.5000, 0.0000)  2 Ga 2.75
Na (0.5000, 0.0000, 0.0000)  2 Ga 2.75
Ga (0.0000, 0.0000, 0.0000)  6 Na 2.75
Te (0.5000, 0.5000, 0.5000)  12 Na 3.89

## Properties
- ΔE to the lowest computed polymorph: 1.13 eV/f.u.

=====

Here is a relaxed structure of CoSbTe2Au from the Alexandria database. Energies are from PBE.

a = 5.1199 Å, b = 5.1199 Å, c = 4.7411 Å
α = 90.00°, β = 90.00°, γ = 90.00°
With the nearest neighbours (Å) after each atom.
Sites, in units of the cell vectors:
Co (0.0000, 0.0000, 0.0000)  2 Sb 2.37, 4 Te 2.56
Sb (0.0000, 0.0000, 0.5000)  2 Co 2.37
Te (0.0000, 0.5000, 0.0000)  2 Co 2.56
Te (0.5000, 0.0000, 0.0000)  2 Co 2.56
Au (0.5000, 0.5000, 0.5000)  8 Te 3.49, 4 Sb 3.62

## Properties
- ΔE to the lowest computed polymorph: 0.00 eV/f.u.

=====

Here is a relaxed structure of Ba2SrRh from the Alexandria database. Energies are from PBE.

a = 7.5803 Å, b = 7.5803 Å, c = 10.5762 Å
α = 90.00°, β = 90.00°, γ = 146.72°
With the nearest neighbours (Å) after each atom.
Sites, in units of the cell vectors:
Ba (0.1485, 0.8515, 0.5738)  2 Rh 3.27
Ba (0.1485, 0.8515, 0.9262)  2 Rh 3.27
Ba (0.8515, 0.1485, 0.0738)  2 Rh 3.27
Ba (0.8515, 0.1485, 0.4262)  2 Rh 3.27
Sr (0.4036, 0.5964, 0.7500)  2 Rh 3.03
Sr (0.5964, 0.4036, 0.2500)  2 Rh 3.03
Rh (0.2418, 0.7582, 0.2500)  2 Sr 3.03, 4 Ba 3.27
Rh (0.7582, 0.2418, 0.7500)  2 Sr 3.03, 4 Ba 3.27

## Properties
- ΔE to the lowest computed polymorph: 0.16 eV/f.u.

=====

Here is a relaxed structure of ZnCdBi from the Alexandria database. Energies are from PBE.

a = 4.7956 Å, b = 4.7956 Å, c = 4.7956 Å
α = 60.00°, β = 60.00°, γ = 60.00°
With the nearest neighbours (Å) after each atom.
Sites, in units of the cell vectors:
Zn (0.0000, 0.0000, 0.0000)  4 Bi 2.94, 4 Cd 2.94
Cd (0.7500, 0.7500, 0.7500)  4 Zn 2.94
Bi (0.2500, 0.2500, 0.2500)  4 Zn 2.94

## Properties
- ΔE to the lowest computed polymorph: 0.00 eV/f.u.

=====

Here is a relaxed structure of CrPPb from the Alexandria database. Energies are from PBE.

a = 6.1231 Å, b = 6.1231 Å, c = 6.1231 Å
α = 148.74°, β = 148.74°, γ = 44.79°
With the nearest neighbours (Å) after each atom.
Sites, in units of the cell vectors:
Cr (0.0000, 0.0000, 0.0000)  4 P 2.41
P (0.5550, 0.5550, 0.0000)  4 Cr 2.41
Pb (0.2938, 0.2938, 0.0000)  1 P 2.96, 4 Pb 3.30, 4 Cr 3.30

## Properties
- ΔE to the lowest computed polymorph: 0.00 eV/f.u.

=====

Here is a relaxed structure of Nd3Sm3Tl2Co from the Alexandria database. Energies are from PBE.

a = 8.9191 Å, b = 8.9191 Å, c = 3.8109 Å
α = 90.00°, β = 90.00°, γ = 120.00°
With the nearest neighbours (Å) after each atom.
Sites, in units of the cell vectors:
Nd (0.0000, 0.7667, 0.0000)  2 Co 2.82
Nd (0.2333, 0.2333, 0.0000)  2 Co 2.82
Nd (0.7667, 0.0000, 0.0000)  2 Co 2.82
Sm (0.0000, 0.4013, 0.5000)  4 Tl 3.32, 1 Co 3.58, 4 Nd 3.65
Sm (0.4013, 0.0000, 0.5000)  4 Tl 3.32, 1 Co 3.58, 4 Nd 3.65
Sm (0.5987, 0.5987, 0.5000)  4 Tl 3.32, 1 Co 3.58, 4 Nd 3.65
Tl (0.3333, 0.6667, 0.0000)  6 Sm 3.32, 3 Nd 3.51
Tl (0.6667, 0.3333, 0.0000)  6 Sm 3.32, 3 Nd 3.51
Co (0.0000, 0.0000, 0.5000)  6 Nd 2.82

## Properties
- E_tot: -42.19 eV per cell

=====

Here is a relaxed structure of CaMg2GaPd2 from the Alexandria database. Energies are from PBE.

a = 4.7918 Å, b = 4.7918 Å, c = 5.9683 Å
α = 90.00°, β = 90.00°, γ = 90.00°
With the nearest neighbours (Å) after each atom.
Sites, in units of the cell vectors:
Ca (0.0000, 0.0000, 0.0000)  2 Ga 2.98
Mg (0.5000, 0.5000, 0.2563)  4 Pd 2.80, 2 Mg 2.91-3.06
Mg (0.5000, 0.5000, 0.7437)  4 Pd 2.80, 2 Mg 2.91-3.06
Ga (0.0000, 0.0000, 0.5000)  4 Pd 2.40
Pd (0.0000, 0.5000, 0.5000)  2 Ga 2.40
Pd (0.5000, 0.0000, 0.5000)  2 Ga 2.40

## Properties
- E_tot: -21.04 eV per cell

=====

Here is a relaxed structure of La4Tb2ErTm from the Alexandria database. Energies are from PBE.

a = 5.2224 Å, b = 5.2483 Å, c = 9.9169 Å
α = 90.00°, β = 90.00°, γ = 90.00°
With the nearest neighbours (Å) after each atom.
Sites, in units of the cell vectors:
La (0.0000, 0.0000, 0.2496)  2 Tm 3.60, 4 Tb 3.60-3.61, 2 Er 3.61, 4 La 3.70
La (0.0000, 0.0000, 0.7504)  2 Tm 3.60, 4 Tb 3.60-3.61, 2 Er 3.61, 4 La 3.70
La (0.5000, 0.5000, 0.2499)  4 Tb 3.60-3.61, 2 Er 3.60, 2 Tm 3.61, 4 La 3.70
La (0.5000, 0.5000, 0.7501)  4 Tb 3.60-3.61, 2 Er 3.60, 2 Tm 3.61, 4 La 3.70
Tb (0.0000, 0.5000, 0.0000)  8 La 3.60-3.61, 4 Tm 3.70
Tb (0.5000, 0.0000, 0.5000)  8 La 3.60-3.61, 4 Er 3.70
Er (0.0000, 0.5000, 0.5000)  8 La 3.60-3.61, 4 Tb 3.70
Tm (0.5000, 0.0000, 0.0000)  8 La 3.60-3.61, 4 Tb 3.70

## Properties
- E_tot: -37.84 eV per cell

=====

Here is a relaxed structure of InBr2N from the Alexandria database. Energies are from PBE.

a = 5.1474 Å, b = 5.1474 Å, c = 5.1474 Å
α = 60.00°, β = 60.00°, γ = 60.00°
With the nearest neighbours (Å) after each atom.
Sites, in units of the cell vectors:
In (0.0000, 0.0000, 0.0000)  8 Br 3.15
Br (0.2500, 0.2500, 0.2500)  4 In 3.15, 4 N 3.15
Br (0.7500, 0.7500, 0.7500)  4 In 3.15, 4 N 3.15
N (0.5000, 0.5000, 0.5000)  8 Br 3.15

## Properties
- ΔE to the lowest computed polymorph: 0.98 eV/f.u.

=====

Here is a relaxed structure of LiSiAg6 from the Alexandria database. Energies are from PBE.

a = 7.2568 Å, b = 7.2568 Å, c = 7.2568 Å
α = 45.99°, β = 45.99°, γ = 45.99°
With the nearest neighbours (Å) after each atom.
Sites, in units of the cell vectors:
Li (0.0000, 0.0000, 0.0000)  12 Ag 3.16
Si (0.5000, 0.5000, 0.5000)  6 Ag 2.49
Ag (0.0646, 0.5750, 0.5750)  1 Si 2.49, 3 Ag 2.78
Ag (0.4250, 0.4250, 0.9354)  1 Si 2.49, 3 Ag 2.78
Ag (0.4250, 0.9354, 0.4250)  1 Si 2.49, 3 Ag 2.78
Ag (0.5750, 0.0646, 0.5750)  1 Si 2.49, 3 Ag 2.78
Ag (0.5750, 0.5750, 0.0646)  1 Si 2.49, 3 Ag 2.78
Ag (0.9354, 0.4250, 0.4250)  1 Si 2.49, 3 Ag 2.78

## Properties
- E_tot: -22.25 eV per cell

=====

Here is a relaxed structure of CaLa12Tl3 from the Alexandria database. Energies are from PBE.

a = 5.9571 Å, b = 5.9571 Å, c = 15.3780 Å
α = 90.00°, β = 90.00°, γ = 90.00°
With the nearest neighbours (Å) after each atom.
Sites, in units of the cell vectors:
Ca (0.0000, 0.0000, 0.0000)  8 La 3.68, 2 Tl 3.89
La (0.0000, 0.5000, 0.1404)  5 La 3.43-3.68, 2 Tl 3.44, 2 Ca 3.68
La (0.0000, 0.5000, 0.3763)  4 Tl 3.53, 6 La 3.53-3.81
La (0.0000, 0.5000, 0.6237)  4 Tl 3.53, 6 La 3.53-3.81
La (0.0000, 0.5000, 0.8596)  5 La 3.43-3.68, 2 Tl 3.44, 2 Ca 3.68
La (0.5000, 0.0000, 0.1404)  5 La 3.43-3.68, 2 Tl 3.44, 2 Ca 3.68
La (0.5000, 0.0000, 0.3763)  4 Tl 3.53, 6 La 3.53-3.81
La (0.5000, 0.0000, 0.6237)  4 Tl 3.53, 6 La 3.53-3.81
La (0.5000, 0.0000, 0.8596)  5 La 3.43-3.68, 2 Tl 3.44, 2 Ca 3.68
La (0.5000, 0.5000, 0.0000)  10 La 3.68-3.86
La (0.5000, 0.5000, 0.2507)  9 La 3.43-3.83
La (0.5000, 0.5000, 0.5000)  10 La 3.53-3.83
La (0.5000, 0.5000, 0.7493)  9 La 3.43-3.83
Tl (0.0000, 0.0000, 0.2527)  8 La 3.44-3.53, 1 Tl 3.80
Tl (0.0000, 0.0000, 0.5000)  8 La 3.53, 2 Tl 3.80
Tl (0.0000, 0.0000, 0.7473)  8 La 3.44-3.53, 1 Tl 3.80

## Properties
- E_tot: -69.88 eV per cell

=====

D(E_F) per entry: 0.95, 0.72, 0.98, 0.76, 0.51, 0.56, 1.23, 0.55, 1.35, 0.44, 0.42, 1.54 states/eV/atom
V per entry: 78, 167, 124, 334, 78, 62, 263, 137, 272, 96, 180, 546 Å³/cell